Here is crystalline Pm5Pr12Y at its relaxed geometry from the Alexandria database. Energies are from PBE-GGA.

Computed properties:
- energy of formation from the pure elements (kJ/mol of formula units) = 126
- total moment (μB/f.u.) = 0.00

Cell: 12.202 10.686 5.971 Å, 90.05 90.09 55.18°
Positions (direct):
Pm: 0.864 0.272 0.500
Pm: 0.363 0.274 0.000
Y: 0.000 0.000 0.000
Pm: 0.637 0.726 0.000
Pm: 0.500 0.000 0.500
Pr: 0.803 0.000 0.449
Pm: 0.136 0.728 0.500
Pr: 0.669 0.358 0.008
Pr: 0.973 0.358 0.992
Pr: 0.701 0.000 0.947
Pr: 0.831 0.642 0.509
Pr: 0.527 0.642 0.491
Pr: 0.299 0.000 0.053
Pr: 0.027 0.642 0.008
Pr: 0.473 0.358 0.509
Pr: 0.169 0.358 0.491
Pr: 0.331 0.642 0.992
Pr: 0.197 0.000 0.551



Here is crystalline Cs2SrPaO4 at its relaxed geometry from the Alexandria database. Energies are from PBE-GGA.

Computed properties:
- total moment (μB/f.u.) = 0.59
- formation energy (no corrections) (eV/atom) = -2.48

Cell: 3.706 6.499 7.386 Å, 107.90 90.00 90.00°
Site moments in Bohr magnetons follow the coordinates.
Positions (direct):
Cs: 0.000 0.500 0.500  0.01
O: 0.500 0.267 0.153  -0.01
Cs: 0.500 0.000 0.500  0.01
O: 0.000 0.310 0.839  -0.01
O: 0.000 0.690 0.161  -0.01
Pa: 0.500 0.500 0.000  0.43
Sr: 0.000 0.000 0.000  0.01
O: 0.500 0.733 0.847  -0.01



Here is crystalline Li2ScSbO at its relaxed geometry from the Alexandria database. Energies are from PBE-GGA.

Computed properties:
- total moment (μB/f.u.) = 0.00
- formation energy (no corrections) (eV/atom) = -1.61

Cell: 4.217 4.217 4.270 Å, 90.00 90.00 90.00°
Positions (direct):
Li: 0.000 0.500 0.000
Li: 0.500 0.000 0.000
O: 0.000 0.000 0.000
Sb: 0.500 0.500 0.500
Sc: 0.000 0.000 0.500



Here is crystalline ZnH4I2O8 at its relaxed geometry from the Alexandria database. Energies are from PBE-GGA.

Computed properties:
- total moment (μB/f.u.) = 0.00

Cell: 4.991 6.738 11.073 Å, 99.67 90.22 91.93°
Positions (direct):
I: 0.891 0.289 0.272
O: 0.691 0.765 0.011
H: 0.441 0.199 0.442
Zn: 0.000 0.000 0.500
H: 0.460 0.215 0.046
H: 0.758 0.631 0.971
O: 0.807 0.023 0.833
I: 0.360 0.771 0.226
O: 0.193 0.977 0.167
I: 0.109 0.711 0.728
O: 0.309 0.235 0.989
O: 0.656 0.489 0.321
O: 0.842 0.443 0.854
H: 0.290 0.343 0.549
O: 0.207 0.793 0.377
H: 0.540 0.785 0.954
O: 0.739 0.764 0.525
H: 0.559 0.801 0.558
O: 0.760 0.200 0.116
O: 0.344 0.511 0.679
O: 0.240 0.800 0.884
O: 0.266 0.901 0.644
Zn: 0.000 0.000 0.000
O: 0.261 0.236 0.475
O: 0.158 0.557 0.146
I: 0.640 0.229 0.774
H: 0.242 0.369 0.029
O: 0.734 0.099 0.356
H: 0.710 0.657 0.451
O: 0.793 0.207 0.623



Here is crystalline K2TiCr2Te6 at its relaxed geometry from the Alexandria database. Energies are from PBE-GGA.

Computed properties:
- total moment (μB/f.u.) = 6.14
- formation energy (no corrections) (eV/atom) = -0.59

Cell: 6.919 6.919 8.730 Å, 97.43 97.43 119.94°
Site moments in Bohr magnetons follow the coordinates.
Positions (direct):
Cr: 0.668 0.332 0.500  3.03
Ti: 0.000 0.000 0.500  0.37
Te: 0.281 0.281 0.317  -0.10
K: 0.835 0.165 0.000  0.00
Te: 0.719 0.719 0.683  -0.10
Te: 0.602 0.938 0.317  -0.10
K: 0.165 0.835 0.000  0.00
Cr: 0.332 0.668 0.500  3.03
Te: 0.938 0.602 0.317  -0.10
Te: 0.062 0.398 0.683  -0.10
Te: 0.398 0.062 0.683  -0.10



Here is crystalline Ac3TeSe3 at its relaxed geometry from the Alexandria database. Energies are from PBE-GGA.

Computed properties:
- total moment (μB/f.u.) = 0.00
- formation energy (no corrections) (eV/atom) = -1.84
- distance to the lowest polymorph of the same formula (kcal/mol of atoms) = 0.00

Cell: 8.368 8.368 8.368 Å, 69.01 69.01 69.01°
Positions (direct):
Se: 0.906 0.204 0.621
Ac: 0.721 0.077 0.443
Se: 0.094 0.796 0.379
Ac: 0.923 0.557 0.279
Se: 0.796 0.379 0.094
Te: 0.668 0.668 0.668
Te: 0.332 0.332 0.332
Ac: 0.557 0.279 0.923
Se: 0.204 0.621 0.906
Ac: 0.077 0.443 0.721
Se: 0.621 0.906 0.204
Se: 0.379 0.094 0.796
Ac: 0.443 0.721 0.077
Ac: 0.279 0.923 0.557



no.,raw total energy (eV/atom),N(E_F) (states/eV per cell)
1,-4.793,26.69
2,-6.574,3.80
3,-5.453,0.62
4,-4.598,0.00
5,-4.973,2.44
6,-5.543,6.26